# Sr2TcPd, relaxed, DFT GGA-PBE
data_Sr2TcPd
_chemical_formula_sum 'Sr8 Tc4 Pd4'
_space_group_name_H-M_alt 'F m -3 m'
_space_group_IT_number 225
_space_group_name_Hall '-F 4 2 3'
_cell_length_a 7.517
_cell_length_b 7.517
_cell_length_c 7.517
_cell_angle_alpha 90.00
_cell_angle_beta 90.00
_cell_angle_gamma 90.00
loop_
_atom_site_label
_atom_site_fract_x
_atom_site_fract_y
_atom_site_fract_z
Sr1 0.250 0.250 0.250
Tc1 0.000 0.000 0.000
Pd1 0.000 0.000 0.500
# Relative energy among the computed polymorphs ... 0 meV/atom



# SrTc3Pd, relaxed, DFT GGA-PBE
data_SrTc3Pd
_chemical_formula_sum 'Sr1 Tc3 Pd1'
_space_group_name_H-M_alt 'P m -3 m'
_space_group_IT_number 221
_space_group_name_Hall '-P 4 2 3'
_cell_length_a 4.833
_cell_length_b 4.833
_cell_length_c 4.833
_cell_angle_alpha 90.00
_cell_angle_beta 90.00
_cell_angle_gamma 90.00
loop_
_atom_site_label
_atom_site_fract_x
_atom_site_fract_y
_atom_site_fract_z
Sr1 0.000 0.000 0.000
Tc1 0.000 0.500 0.500
Pd1 0.500 0.500 0.500
# Relative energy among the computed polymorphs ... 0 meV/atom



# Sr2TcPd, relaxed, DFT GGA-PBE
data_Sr2TcPd
_chemical_formula_sum 'Sr8 Tc4 Pd4'
_space_group_name_H-M_alt 'I -4 2 d'
_space_group_IT_number 122
_space_group_name_Hall 'I -4 2bw'
_cell_length_a 8.284
_cell_length_b 8.284
_cell_length_c 6.426
_cell_angle_alpha 90.00
_cell_angle_beta 90.00
_cell_angle_gamma 90.00
loop_
_atom_site_label
_atom_site_fract_x
_atom_site_fract_y
_atom_site_fract_z
Sr1 0.228 0.250 0.125
Tc1 0.000 0.000 0.500
Pd1 0.000 0.000 0.000
# Relative energy among the computed polymorphs ... 163 meV/atom



Here is an optimized crystal structure of Sr2TcPd2 from the Alexandria database. Energies are from GGA-PBE.

Structure (CIF):
```
data_Sr2TcPd2
_chemical_formula_sum 'Sr4 Tc2 Pd4'
_space_group_name_H-M_alt 'P 4/m b m'
_space_group_IT_number 127
_space_group_name_Hall '-P 4 2ab'
_cell_length_a 7.186
_cell_length_b 7.186
_cell_length_c 4.687
_cell_angle_alpha 90.00
_cell_angle_beta 90.00
_cell_angle_gamma 90.00
loop_
_atom_site_label
_atom_site_fract_x
_atom_site_fract_y
_atom_site_fract_z
Sr1 0.176 0.324 0.000
Tc1 0.000 0.000 0.500
Pd1 0.136 0.636 0.500
```



no.,calculated volume (Å³ per atom),formation energy (eV per atom),electronic total energy (eV/atom)
1,26.6,0.4990,-4.23
2,22.6,1.6696,-5.92
3,27.6,0.6623,-4.07
4,24.2,0.0424,-4.78